Compound: Sr3MgAu
Source: Alexandria
Functional: GGA-PBE
Structure: optimized geometry

```
Sr3MgAu
1.0
6.0629 0.0000 0.0000
0.0000 6.0629 0.0000
0.0000 0.0000 6.0629
Sr Mg Au
3 1 1
Direct
0.0000 0.0000 0.5000
0.0000 0.5000 0.0000
0.5000 0.0000 0.0000
0.5000 0.5000 0.5000
0.0000 0.0000 0.0000
```

Computed properties:
Energy relative to the lowest polymorph listed for this composition: 0.00 kJ per mole of atoms
SG: No. 221
ρ: 3.6 g/cm3
Density of states at the Fermi level: 0.792 states/eV per atom
Raw total energy: -2.22 eV per atom